La2Mg2Tl: optimized geometry, PBE.

Unit cell a=7.5467 b=7.5467 c=5.2125 alpha=90.00 beta=90.00 gamma=90.00
Last column: nearest neighbours and their distance in Å.
Atoms (fractional coordinates):
Mg 0.3645 0.8645 0.0000  1 Mg 2.89, 2 Tl 2.93
Mg 0.8645 0.6355 0.0000  1 Mg 2.89, 2 Tl 2.93
Mg 0.6355 0.1355 0.0000  1 Mg 2.89, 2 Tl 2.93
Mg 0.1355 0.3645 0.0000  1 Mg 2.89, 2 Tl 2.93
La 0.8316 0.3316 0.5000  6 Mg 3.34-3.48, 1 La 3.59
La 0.6684 0.8316 0.5000  6 Mg 3.34-3.48, 1 La 3.59
La 0.3316 0.1684 0.5000  6 Mg 3.34-3.48, 1 La 3.59
La 0.1684 0.6684 0.5000  6 Mg 3.34-3.48, 1 La 3.59
Tl 0.0000 0.0000 0.0000  4 Mg 2.93
Tl 0.5000 0.5000 0.0000  4 Mg 2.93

Computed properties:
energy of formation from the pure elements = -0.816 eV/f.u.
size of the total moment = 0.00 Bohr magnetons per cell
SG = No. 127
relative energy among the computed polymorphs = 0.037 eV per atom
Fermi-level density of states = 0.9496 states/eV per atom

LaMgTl: optimized geometry, PBE.

Unit cell a=7.8560 b=7.8560 c=4.8571 alpha=90.00 beta=90.00 gamma=120.00
Last column: nearest neighbours and their distance in Å.
Atoms (fractional coordinates):
Tl 0.6667 0.3333 0.5000  3 Mg 3.04, 6 La 3.37
Tl 0.3333 0.6667 0.5000  3 Mg 3.04, 6 La 3.37
Tl 0.0000 0.0000 0.0000  6 Mg 3.08, 3 La 3.35
Mg 0.7581 0.0000 0.5000  4 Tl 3.04-3.08, 2 Mg 3.29
Mg 0.2419 0.2419 0.5000  4 Tl 3.04-3.08, 2 Mg 3.29
Mg 0.0000 0.7581 0.5000  4 Tl 3.04-3.08, 2 Mg 3.29
La 0.4261 0.0000 0.0000  5 Tl 3.35-3.37, 2 Mg 3.56
La 0.0000 0.4261 0.0000  5 Tl 3.35-3.37, 2 Mg 3.56
La 0.5739 0.5739 0.0000  5 Tl 3.35-3.37, 2 Mg 3.56

Computed properties:
energy of formation from the pure elements = -1.142 eV/f.u.
size of the total moment = 0.00 Bohr magnetons per cell
SG = No. 189
Fermi-level density of states = 0.1389 states/eV per atom

La6Mg2Tl: optimized geometry, PBE.

Unit cell a=6.9771 b=6.9771 c=10.5656 alpha=56.33 beta=56.33 gamma=47.26
Last column: nearest neighbours and their distance in Å.
Atoms (fractional coordinates):
La 0.3475 0.3475 0.5000  2 Tl 3.41, 2 Mg 3.47, 4 La 3.72-3.75
La 0.6525 0.6525 0.5000  2 Tl 3.41, 2 Mg 3.47, 4 La 3.72-3.75
La 0.3217 0.3217 0.1672  3 Mg 3.38-3.43, 1 Tl 3.43, 4 La 3.70-3.73
La 0.0110 0.0110 0.1673  3 Mg 3.38-3.43, 1 Tl 3.43, 4 La 3.70-3.72
La 0.9890 0.9890 0.8327  3 Mg 3.38-3.43, 1 Tl 3.43, 4 La 3.70-3.72
La 0.6783 0.6783 0.8328  3 Mg 3.38-3.43, 1 Tl 3.43, 4 La 3.70-3.73
Mg 0.3290 0.3290 0.8420  8 La 3.38-3.47
Mg 0.6710 0.6710 0.1580  8 La 3.38-3.47
Tl 0.0000 0.0000 0.5000  8 La 3.41-3.43

Computed properties:
energy of formation from the pure elements = -1.138 eV/f.u.
size of the total moment = 1.61 Bohr magnetons per cell
SG = No. 69
Fermi-level density of states = 1.1365 states/eV per atom

La2Mg6Tl3: optimized geometry, PBE.

Unit cell a=4.7161 b=8.5566 c=8.5566 alpha=120.00 beta=90.00 gamma=90.00
Last column: nearest neighbours and their distance in Å.
Atoms (fractional coordinates):
Mg 0.5000 0.7317 0.7317  3 Tl 2.85-3.02, 4 Mg 3.14
Mg 0.0000 0.2039 0.2039  2 Tl 2.89, 6 Mg 3.02-3.14
Mg 0.0000 0.7961 0.0000  2 Tl 2.89, 6 Mg 3.02-3.14
Mg 0.0000 0.0000 0.7961  2 Tl 2.89, 6 Mg 3.02-3.14
Mg 0.5000 0.2683 0.0000  3 Tl 2.85-3.02, 4 Mg 3.14
Mg 0.5000 0.0000 0.2683  3 Tl 2.85-3.02, 4 Mg 3.14
Tl 0.5000 0.3991 0.3991  5 Mg 2.85-3.02
Tl 0.5000 0.0000 0.6009  5 Mg 2.85-3.02
Tl 0.5000 0.6009 0.0000  5 Mg 2.85-3.02
La 0.0000 0.3333 0.6667  6 Tl 3.52, 3 Mg 3.54
La 0.0000 0.6667 0.3333  6 Tl 3.52, 3 Mg 3.54

Computed properties:
energy of formation from the pure elements = -1.938 eV/f.u.
size of the total moment = 0.00 Bohr magnetons per cell
SG = No. 189
Fermi-level density of states = 0.6247 states/eV per atom

La2MgTl3: optimized geometry, PBE.

Unit cell a=6.3971 b=6.3971 c=9.7057 alpha=103.09 beta=103.09 gamma=108.21
Last column: nearest neighbours and their distance in Å.
Atoms (fractional coordinates):
Tl 0.1708 0.1708 0.3415  1 Mg 2.90, 2 Tl 3.06
Tl 0.8292 0.8292 0.6585  1 Mg 2.90, 2 Tl 3.06
Tl 0.3420 0.8292 0.1712  1 Mg 2.92, 2 Tl 3.06-3.07
Tl 0.6580 0.1708 0.8288  1 Mg 2.92, 2 Tl 3.06-3.07
Tl 0.8292 0.3420 0.1712  1 Mg 2.92, 2 Tl 3.06-3.07
Tl 0.1708 0.6580 0.8288  1 Mg 2.92, 2 Tl 3.06-3.07
La 0.7500 0.2500 0.5000  8 Tl 3.49-3.50, 4 Mg 3.53, 2 La 3.75
La 0.2426 0.2426 0.0000  10 Tl 3.53-3.57, 2 Mg 3.56, 2 La 3.64-3.86
La 0.7574 0.7574 0.0000  10 Tl 3.53-3.57, 2 Mg 3.56, 2 La 3.64-3.86
La 0.2500 0.7500 0.5000  8 Tl 3.49-3.50, 4 Mg 3.53, 2 La 3.75
Mg 0.6672 0.6672 0.3343  3 Tl 2.90-2.92
Mg 0.3328 0.3328 0.6657  3 Tl 2.90-2.92

Computed properties:
energy of formation from the pure elements = -1.934 eV/f.u.
size of the total moment = 0.00 Bohr magnetons per cell
SG = No. 69
Fermi-level density of states = 0.8358 states/eV per atom

LaMgTl: optimized geometry, PBE.

Unit cell a=6.8135 b=5.0003 c=6.7318 alpha=111.81 beta=58.44 gamma=90.07
Last column: nearest neighbours and their distance in Å.
Atoms (fractional coordinates):
Tl 0.4005 0.9365 0.6415  3 Mg 3.07-3.40, 2 La 3.33
Tl 0.9617 0.2640 0.2936  3 Mg 3.00-3.02, 3 La 3.24-3.29
Mg 0.5150 0.5340 0.8366  3 Tl 3.02-3.07
Mg 0.9410 0.9022 0.5708  2 Tl 3.00
La 0.4529 0.2463 0.2606  4 Tl 3.24-3.59, 2 Mg 3.49
La 0.9656 0.5916 0.9495  4 Tl 3.29-3.51, 4 Mg 3.40-3.52, 1 La 3.67

Computed properties:
energy of formation from the pure elements = -0.616 eV/f.u.
size of the total moment = 0.00 Bohr magnetons per cell
SG = No. 1
Fermi-level density of states = 0.4624 states/eV per atom